The following is a PBE-GGA calculation of an optimized crystal structure of DyScBe2, from Alexandria via LeMat-Bulk.

Cell lengths 3.297, 3.297, 6.555 Å; angles 90.00, 90.00, 90.00 degrees
Atoms (fractional coordinates):
Dy  0.000  0.000  0.000
Sc  0.000  0.000  0.500
Be  0.500  0.500  0.289
Be  0.500  0.500  0.711

SG = No. 123
Excess energy over the best structure of this formula in the dataset = 0 meV/atom
Calculated formation energy = 0.035 eV/atom
VASP energy = -4.56 eV per atom
ρ = 5.25 g/cm³